Entry 1:
# Li3Fe2P2O8F2

Li3Fe2P2O8F2 at its PBEsol-relaxed geometry (meta-GGA SCAN, Alexandria).

ρ   3.7 Mg/m³
Formation energy (no corrections)   -2362 meV per atom
Raw total energy   -9.488 eV/atom

Unit cell a=5.085 b=5.132 c=7.025 alpha=107.43 beta=107.86 gamma=97.21
Space group P-1 (No. 2)
Symmetry-distinct sites (fractional):
Li (0.000, 0.000, 0.000)
Li (0.260, 0.414, 0.346)
Fe (0.500, 0.000, 0.000)
Fe (0.500, 0.000, 0.500)
P (0.173, 0.362, 0.743)
O (0.134, 0.761, 0.421)
O (0.179, 0.678, 0.848)
O (0.243, 0.222, 0.911)
O (0.384, 0.340, 0.621)
F (0.368, 0.069, 0.236)

***

Entry 2:
# K2SrMnIn

K2SrMnIn at its PBEsol-relaxed geometry (meta-GGA SCAN, Alexandria).

ρ   2.5 Mg/m³
Raw total energy   -17.800 eV/atom

Unit cell a=6.602 b=6.602 c=5.194 alpha=90.00 beta=90.00 gamma=90.00
Space group P4/mmm (No. 123)
Symmetry-distinct sites (fractional):
K (0.000, 0.500, 0.000)
Sr (0.000, 0.000, 0.500)
Mn (0.500, 0.500, 0.500)
In (0.500, 0.500, 0.000)

***

Entry 3:
# YTa2P

YTa2P at its PBEsol-relaxed geometry (meta-GGA SCAN, Alexandria).

ρ   10.7 Mg/m³
Raw total energy   -42.856 eV/atom

Unit cell a=3.601 b=4.846 c=8.554 alpha=90.00 beta=90.00 gamma=90.00
Space group Cmmm (No. 65)
Symmetry-distinct sites (fractional):
Y (0.000, 0.000, 0.000)
Ta (0.000, 0.500, 0.305)
P (0.000, 0.000, 0.500)

***

Entry 4:
# Sr8Pr4Cu9Hg3O24

Sr8Pr4Cu9Hg3O24 at its PBEsol-relaxed geometry (meta-GGA SCAN, Alexandria).

ρ   6.6 Mg/m³
Formation energy (no corrections)   -2037 meV per atom
Raw total energy   -19.586 eV/atom

Unit cell a=15.397 b=7.689 c=12.627 alpha=90.00 beta=107.74 gamma=90.00
Space group C2/m (No. 12)
Symmetry-distinct sites (fractional):
Sr (0.068, 0.244, 0.283)
Sr (0.177, 0.245, 0.717)
Pr (0.000, 0.251, 0.000)
Pr (0.250, 0.250, 0.000)
Cu (0.000, 0.000, 0.500)
Cu (0.091, 0.000, 0.865)
Cu (0.091, 0.500, 0.863)
Cu (0.159, 0.500, 0.139)
Cu (0.160, 0.000, 0.138)
Hg (0.000, 0.500, 0.500)
Hg (0.249, 0.000, 0.500)
O (0.032, 0.500, 0.132)
O (0.033, 0.000, 0.132)
O (0.038, 0.000, 0.651)
O (0.042, 0.500, 0.668)
O (0.092, 0.249, 0.868)
O (0.158, 0.250, 0.131)
O (0.208, 0.000, 0.332)
O (0.208, 0.500, 0.332)
O (0.217, 0.000, 0.868)
O (0.217, 0.500, 0.869)

***

Entry 5:
# LiCu

LiCu at its PBEsol-relaxed geometry (meta-GGA SCAN, Alexandria).

ρ   4.7 Mg/m³
Raw total energy   -8.806 eV/atom

Unit cell a=9.773 b=2.514 c=6.243 alpha=90.00 beta=104.36 gamma=90.00
Space group Cm (No. 8)
Symmetry-distinct sites (fractional):
Li (0.000, 0.000, 0.000)
Li (0.052, 0.000, 0.625)
Li (0.376, 0.000, 0.291)
Cu (0.160, 0.500, 0.335)
Cu (0.227, 0.500, 0.957)
Cu (0.311, 0.000, 0.666)

***

Entry 6:
# KMgIn2

KMgIn2 at its PBEsol-relaxed geometry (meta-GGA SCAN, Alexandria).

ρ   4.3 Mg/m³
Raw total energy   -20.211 eV/atom

Unit cell a=3.226 b=4.398 c=8.005 alpha=90.00 beta=90.00 gamma=90.00
Space group Pmmm (No. 47)
Symmetry-distinct sites (fractional):
K (0.000, 0.000, 0.000)
Mg (0.000, 0.000, 0.500)
In (0.500, 0.500, 0.308)

***

Entry 7:
# HgGe2TeN

HgGe2TeN at its PBEsol-relaxed geometry (meta-GGA SCAN, Alexandria).

ρ   5.4 Mg/m³
Formation energy (no corrections)   1702 meV per atom
Raw total energy   -28.875 eV/atom

Unit cell a=5.177 b=5.177 c=5.629 alpha=90.00 beta=90.00 gamma=90.00
Space group P4/mmm (No. 123)
Symmetry-distinct sites (fractional):
Hg (0.000, 0.000, 0.000)
Ge (0.000, 0.500, 0.000)
Te (0.000, 0.000, 0.500)
N (0.500, 0.500, 0.500)

***

Entry 8:
# Ca3Mg7Zn2

Ca3Mg7Zn2 at its PBEsol-relaxed geometry (meta-GGA SCAN, Alexandria).

ρ   2.3 Mg/m³
Raw total energy   -7.706 eV/atom

Unit cell a=6.0505 b=6.0505 c=28.2321 alpha=90.00 beta=90.00 gamma=120.00
Space group R-3m (No. 166, hexagonal axes)
Symmetry-distinct sites (fractional):
Ca (0.0000, 0.0000, 0.0000)
Ca (0.0000, 0.0000, 0.1439)
Mg (0.0000, 0.0000, 0.5000)
Mg (0.0023, 0.5011, 0.9229)
Zn (0.0000, 0.0000, 0.3336)

***

Entry 9:
# Al2TlCl

Al2TlCl at its PBEsol-relaxed geometry (meta-GGA SCAN, Alexandria).

E above lowest polymorph   261.1 meV/atom
ρ   5.6 Mg/m³
Formation energy (no corrections)   96 meV per atom
Raw total energy   -23.864 eV/atom

Unit cell a=5.205 b=5.205 c=3.188 alpha=90.00 beta=90.00 gamma=90.00
Space group P4/mmm (No. 123)
Symmetry-distinct sites (fractional):
Al (0.000, 0.500, 0.000)
Tl (0.000, 0.000, 0.500)
Cl (0.500, 0.500, 0.500)

***

Entry 10:
# K2InOs

K2InOs at its PBEsol-relaxed geometry (meta-GGA SCAN, Alexandria).

ρ   6.8 Mg/m³
Raw total energy   -29.566 eV/atom

Unit cell a=2.858 b=2.858 c=11.518 alpha=90.00 beta=90.00 gamma=90.00
Space group P4/mmm (No. 123)
Symmetry-distinct sites (fractional):
K (0.000, 0.000, 0.226)
In (0.500, 0.500, 0.500)
Os (0.500, 0.500, 0.000)

***

Entry 11:
# Sn3Ir2Se3

Sn3Ir2Se3 at its PBEsol-relaxed geometry (meta-GGA SCAN, Alexandria).

ρ   9.0 Mg/m³
Formation energy (no corrections)   -518 meV per atom
Raw total energy   -39.292 eV/atom

Unit cell a=12.6544 b=12.6544 c=15.5496 alpha=90.00 beta=90.00 gamma=120.00
Space group R-3 (No. 148, hexagonal axes)
Symmetry-distinct sites (fractional):
Sn (0.0104, 0.8384, 0.3385)
Sn (0.0595, 0.4547, 0.6066)
Ir (0.0000, 0.0000, 0.2440)
Ir (0.9999, 0.4989, 0.7559)
Se (0.0162, 0.8353, 0.8344)
Se (0.0522, 0.4506, 0.1010)

***

Entry 12:
# LiNiO3

LiNiO3 at its PBEsol-relaxed geometry (meta-GGA SCAN, Alexandria).

ρ   3.9 Mg/m³
Formation energy (no corrections)   -737 meV per atom
Raw total energy   -8.188 eV/atom

Unit cell a=3.658 b=3.658 c=3.658 alpha=90.00 beta=90.00 gamma=90.00
Space group Pm-3m (No. 221)
Symmetry-distinct sites (fractional):
Li (0.000, 0.000, 0.000)
Ni (0.500, 0.500, 0.500)
O (0.000, 0.500, 0.500)

***

Entry 13:
# SrHf2Ir2

SrHf2Ir2 at its PBEsol-relaxed geometry (meta-GGA SCAN, Alexandria).

ρ   12.5 Mg/m³
Raw total energy   -58.890 eV/atom

Unit cell a=4.447 b=4.447 c=11.156 alpha=90.00 beta=90.00 gamma=90.00
Space group I4/mmm (No. 139)
Symmetry-distinct sites (fractional):
Sr (0.000, 0.000, 0.000)
Hf (0.000, 0.500, 0.250)
Ir (0.000, 0.000, 0.381)

***

Entry 14:
# TiTe2Ru

TiTe2Ru at its PBEsol-relaxed geometry (meta-GGA SCAN, Alexandria).

E above lowest polymorph   306.5 meV/atom
ρ   7.8 Mg/m³
Formation energy (no corrections)   257 meV per atom
Raw total energy   -31.082 eV/atom

Unit cell a=3.3369 b=3.3369 c=26.9308 alpha=90.00 beta=90.00 gamma=120.00
Space group R-3m (No. 166, hexagonal axes)
Symmetry-distinct sites (fractional):
Ti (0.0000, 0.0000, 0.0000)
Te (0.0000, 0.0000, 0.0991)
Ru (0.0000, 0.0000, 0.5000)

***

Entry 15:
# ZrPbAu2

ZrPbAu2 at its PBEsol-relaxed geometry (meta-GGA SCAN, Alexandria).

ρ   13.9 Mg/m³
Raw total energy   -61.629 eV/atom

Unit cell a=3.378 b=3.764 c=6.516 alpha=90.00 beta=90.00 gamma=90.00
Space group Pmmm (No. 47)
Symmetry-distinct sites (fractional):
Zr (0.000, 0.000, 0.000)
Pb (0.000, 0.000, 0.500)
Au (0.500, 0.500, 0.221)

***

Entry 16:
# SeBr

SeBr at its PBEsol-relaxed geometry (meta-GGA SCAN, Alexandria).

ρ   4.3 Mg/m³
Formation energy (no corrections)   -83 meV per atom
Raw total energy   -19.852 eV/atom

Unit cell a=7.307 b=13.991 c=4.859 alpha=90.00 beta=92.28 gamma=90.00
Space group P2_1/c (No. 14)
Symmetry-distinct sites (fractional):
Se (0.138, 0.131, 0.385)
Se (0.290, 0.029, 0.670)
Br (0.166, 0.643, 0.903)
Br (0.446, 0.140, 0.008)

***

Entry 17:
# CoRe2H

CoRe2H at its PBEsol-relaxed geometry (meta-GGA SCAN, Alexandria).

ρ   16.8 Mg/m³
Raw total energy   -40.229 eV/atom

Unit cell a=5.791 b=5.791 c=5.089 alpha=90.00 beta=90.00 gamma=90.00
Space group I-42d (No. 122)
Symmetry-distinct sites (fractional):
Co (0.000, 0.000, 0.000)
Re (0.170, 0.750, 0.625)
H (0.000, 0.000, 0.500)

***

Entry 18:
# IrPtAu2

IrPtAu2 at its PBEsol-relaxed geometry (meta-GGA SCAN, Alexandria).

E above lowest polymorph   0.0 meV/atom
ρ   20.4 Mg/m³
Raw total energy   -69.607 eV/atom

Unit cell a=2.762 b=4.797 c=9.604 alpha=90.00 beta=90.00 gamma=90.00
Space group Imm2 (No. 44)
Symmetry-distinct sites (fractional):
Ir (0.000, 0.000, 0.000)
Pt (0.000, 0.500, 0.732)
Au (0.000, 0.000, 0.488)
Au (0.000, 0.500, 0.250)

***

Entry 19:
# Cr3BW

Cr3BW at its PBEsol-relaxed geometry (meta-GGA SCAN, Alexandria).

ρ   10.1 Mg/m³
Raw total energy   -26.116 eV/atom

Unit cell a=3.863 b=3.863 c=3.863 alpha=90.00 beta=90.00 gamma=90.00
Space group Pm-3m (No. 221)
Symmetry-distinct sites (fractional):
Cr (0.000, 0.000, 0.500)
B (0.000, 0.000, 0.000)
W (0.500, 0.500, 0.500)

***

Entry 20:
# Ti3PtO

Ti3PtO at its PBEsol-relaxed geometry (meta-GGA SCAN, Alexandria).

ρ   8.9 Mg/m³
Formation energy (no corrections)   -1725 meV per atom
Raw total energy   -26.628 eV/atom

Unit cell a=4.046 b=4.046 c=4.046 alpha=90.00 beta=90.00 gamma=90.00
Space group Pm-3m (No. 221)
Symmetry-distinct sites (fractional):
Ti (0.000, 0.000, 0.500)
Pt (0.500, 0.500, 0.500)
O (0.000, 0.000, 0.000)